Entry 1:
An optimized crystal structure of Zn4TeRh. Source: Alexandria via LeMat-Bulk, functional GGA-PBE.

## Properties
DOS at the Fermi energy = 4.139 states/eV per cell
total magnetic moment = 0.0 μB per formula unit
ΔE_f (raw) = 0.097 eV per atom
space-group type = No. 216

Structure (CIF):
```
data_Zn4TeRh
_chemical_formula_sum 'Zn4 Te1 Rh1'
_space_group_name_H-M_alt 'P 1'
_space_group_IT_number 1
_space_group_name_Hall 'P 1'
_cell_length_a 5.174
_cell_length_b 5.174
_cell_length_c 5.174
_cell_angle_alpha 60.00
_cell_angle_beta 60.00
_cell_angle_gamma 60.00
loop_
_atom_site_label
_atom_site_fract_x
_atom_site_fract_y
_atom_site_fract_z
Rh1 0.750 0.750 0.750
Te1 0.000 0.000 0.000
Zn1 0.871 0.376 0.376
Zn2 0.376 0.871 0.376
Zn3 0.376 0.376 0.871
Zn4 0.376 0.376 0.376
```

***

Entry 2:
An optimized crystal structure of ZnTeRh2. Source: Alexandria via LeMat-Bulk, functional GGA-PBE.

## Properties
DOS at the Fermi energy = 3.335 states/eV per cell
total magnetic moment = 0.0 μB per formula unit
ΔE_f (raw) = -0.172 eV per atom
space-group type = No. 123

Structure (CIF):
```
data_ZnTeRh2
_chemical_formula_sum 'Zn1 Te1 Rh2'
_space_group_name_H-M_alt 'P 1'
_space_group_IT_number 1
_space_group_name_Hall 'P 1'
_cell_length_a 7.021
_cell_length_b 4.312
_cell_length_c 3.477
_cell_angle_alpha 90.04
_cell_angle_beta 60.27
_cell_angle_gamma 127.92
loop_
_atom_site_label
_atom_site_fract_x
_atom_site_fract_y
_atom_site_fract_z
Te1 0.000 0.500 0.500
Rh1 0.500 0.000 0.500
Rh2 0.000 0.000 0.000
Zn1 0.500 0.500 0.000
```

***

Entry 3:
An optimized crystal structure of Zn2Te2Rh. Source: Alexandria via LeMat-Bulk, functional GGA-PBE.

## Properties
DOS at the Fermi energy = 5.596 states/eV per cell
total magnetic moment = 0.2 μB per formula unit
ΔE_f (raw) = 0.691 eV per atom
space-group type = No. 139

Structure (CIF):
```
data_Zn2Te2Rh
_chemical_formula_sum 'Zn2 Te2 Rh1'
_space_group_name_H-M_alt 'P 1'
_space_group_IT_number 1
_space_group_name_Hall 'P 1'
_cell_length_a 4.268
_cell_length_b 4.268
_cell_length_c 7.056
_cell_angle_alpha 72.40
_cell_angle_beta 72.40
_cell_angle_gamma 90.00
loop_
_atom_site_label
_atom_site_fract_x
_atom_site_fract_y
_atom_site_fract_z
Te1 0.750 0.250 0.500
Te2 0.250 0.750 0.500
Rh1 0.000 0.000 0.000
Zn1 0.409 0.409 0.181
Zn2 0.591 0.591 0.819
```

***

Entry 4:
An optimized crystal structure of ZnTeRh2. Source: Alexandria via LeMat-Bulk, functional GGA-PBE.

## Properties
DOS at the Fermi energy = 2.084 states/eV per cell
total magnetic moment = 0.0 μB per formula unit
ΔE_f (raw) = -0.065 eV per atom
space-group type = No. 166

Structure (CIF):
```
data_ZnTeRh2
_chemical_formula_sum 'Zn1 Te1 Rh2'
_space_group_name_H-M_alt 'P 1'
_space_group_IT_number 1
_space_group_name_Hall 'P 1'
_cell_length_a 7.621
_cell_length_b 7.621
_cell_length_c 7.621
_cell_angle_alpha 24.87
_cell_angle_beta 24.87
_cell_angle_gamma 24.87
loop_
_atom_site_label
_atom_site_fract_x
_atom_site_fract_y
_atom_site_fract_z
Rh1 0.002 0.002 0.002
Rh2 0.498 0.498 0.498
Te1 0.250 0.250 0.250
Zn1 0.750 0.750 0.750
```

***

Entry 5:
An optimized crystal structure of ZnTeRh2. Source: Alexandria via LeMat-Bulk, functional GGA-PBE.

## Properties
DOS at the Fermi energy = 3.539 states/eV per cell
total magnetic moment = 0.0 μB per formula unit
ΔE_f (raw) = 0.178 eV per atom
space-group type = No. 160

Structure (CIF):
```
data_ZnTeRh2
_chemical_formula_sum 'Zn1 Te1 Rh2'
_space_group_name_H-M_alt 'P 1'
_space_group_IT_number 1
_space_group_name_Hall 'P 1'
_cell_length_a 8.543
_cell_length_b 8.543
_cell_length_c 8.543
_cell_angle_alpha 21.24
_cell_angle_beta 21.24
_cell_angle_gamma 21.24
loop_
_atom_site_label
_atom_site_fract_x
_atom_site_fract_y
_atom_site_fract_z
Te1 0.508 0.508 0.508
Rh1 0.001 0.001 0.001
Rh2 0.251 0.251 0.251
Zn1 0.739 0.739 0.739
```

***

Entry 6:
An optimized crystal structure of ZnTeRh2. Source: Alexandria via LeMat-Bulk, functional GGA-PBE.

## Properties
DOS at the Fermi energy = 2.743 states/eV per cell
total magnetic moment = 0.0 μB per formula unit
ΔE_f (raw) = 0.105 eV per atom
space-group type = No. 216

Structure (CIF):
```
data_ZnTeRh2
_chemical_formula_sum 'Zn1 Te1 Rh2'
_space_group_name_H-M_alt 'P 1'
_space_group_IT_number 1
_space_group_name_Hall 'P 1'
_cell_length_a 4.542
_cell_length_b 4.542
_cell_length_c 4.542
_cell_angle_alpha 60.00
_cell_angle_beta 60.00
_cell_angle_gamma 60.00
loop_
_atom_site_label
_atom_site_fract_x
_atom_site_fract_y
_atom_site_fract_z
Zn1 0.750 0.750 0.750
Te1 0.500 0.500 0.500
Rh1 0.000 0.000 0.000
Rh2 0.250 0.250 0.250
```

***

Entry 7:
An optimized crystal structure of ZnTeRh2. Source: Alexandria via LeMat-Bulk, functional GGA-PBE.

## Properties
DOS at the Fermi energy = 4.082 states/eV per cell
total magnetic moment = 0.0 μB per formula unit
ΔE_f (raw) = -0.084 eV per atom
space-group type = No. 119

Structure (CIF):
```
data_ZnTeRh2
_chemical_formula_sum 'Zn1 Te1 Rh2'
_space_group_name_H-M_alt 'P 1'
_space_group_IT_number 1
_space_group_name_Hall 'P 1'
_cell_length_a 5.242
_cell_length_b 5.242
_cell_length_c 5.242
_cell_angle_alpha 137.50
_cell_angle_beta 137.50
_cell_angle_gamma 61.67
loop_
_atom_site_label
_atom_site_fract_x
_atom_site_fract_y
_atom_site_fract_z
Zn1 0.750 0.250 0.500
Rh1 0.250 0.750 0.500
Rh2 0.000 0.000 0.000
Te1 0.500 0.500 0.000
```

***

Entry 8:
An optimized crystal structure of ZnTe4Rh. Source: Alexandria via LeMat-Bulk, functional GGA-PBE.

## Properties
DOS at the Fermi energy = 7.173 states/eV per cell
total magnetic moment = 0.0 μB per formula unit
ΔE_f (raw) = 0.848 eV per atom
space-group type = No. 216

Structure (CIF):
```
data_ZnTe4Rh
_chemical_formula_sum 'Zn1 Te4 Rh1'
_space_group_name_H-M_alt 'P 1'
_space_group_IT_number 1
_space_group_name_Hall 'P 1'
_cell_length_a 6.207
_cell_length_b 6.207
_cell_length_c 6.207
_cell_angle_alpha 60.00
_cell_angle_beta 60.00
_cell_angle_gamma 60.00
loop_
_atom_site_label
_atom_site_fract_x
_atom_site_fract_y
_atom_site_fract_z
Te1 0.375 0.375 0.375
Te2 0.876 0.375 0.375
Te3 0.375 0.375 0.876
Te4 0.375 0.876 0.375
Zn1 0.750 0.750 0.750
Rh1 0.000 0.000 0.000
```

***

Entry 9:
An optimized crystal structure of Zn2Te2Rh. Source: Alexandria via LeMat-Bulk, functional GGA-PBE.

## Properties
DOS at the Fermi energy = 6.662 states/eV per cell
total magnetic moment = 0.0 μB per formula unit
ΔE_f (raw) = 0.182 eV per atom
space-group type = No. 127

Structure (CIF):
```
data_Zn2Te2Rh
_chemical_formula_sum 'Zn4 Te4 Rh2'
_space_group_name_H-M_alt 'P 1'
_space_group_IT_number 1
_space_group_name_Hall 'P 1'
_cell_length_a 7.146
_cell_length_b 7.146
_cell_length_c 3.899
_cell_angle_alpha 90.00
_cell_angle_beta 90.00
_cell_angle_gamma 90.00
loop_
_atom_site_label
_atom_site_fract_x
_atom_site_fract_y
_atom_site_fract_z
Te1 0.309 0.191 0.500
Te2 0.191 0.691 0.500
Te3 0.691 0.809 0.500
Te4 0.809 0.309 0.500
Zn1 0.875 0.625 0.000
Zn2 0.375 0.875 0.000
Zn3 0.125 0.375 0.000
Zn4 0.625 0.125 0.000
Rh1 0.000 0.000 0.000
Rh2 0.500 0.500 0.000
```

***

Entry 10:
An optimized crystal structure of ZnTeRh2. Source: Alexandria via LeMat-Bulk, functional GGA-PBE.

## Properties
DOS at the Fermi energy = 2.973 states/eV per cell
total magnetic moment = 0.0 μB per formula unit
ΔE_f (raw) = -0.168 eV per atom
space-group type = No. 123

Structure (CIF):
```
data_ZnTeRh2
_chemical_formula_sum 'Zn1 Te1 Rh2'
_space_group_name_H-M_alt 'P 1'
_space_group_IT_number 1
_space_group_name_Hall 'P 1'
_cell_length_a 3.220
_cell_length_b 3.221
_cell_length_c 7.042
_cell_angle_alpha 62.77
_cell_angle_beta 90.00
_cell_angle_gamma 90.00
loop_
_atom_site_label
_atom_site_fract_x
_atom_site_fract_y
_atom_site_fract_z
Te1 0.500 0.250 0.250
Rh1 0.000 0.018 0.983
Rh2 0.000 0.482 0.517
Zn1 0.500 0.750 0.750
```

***

Entry 11:
An optimized crystal structure of ZnTeRh2. Source: Alexandria via LeMat-Bulk, functional GGA-PBE.

## Properties
DOS at the Fermi energy = 1.617 states/eV per cell
total magnetic moment = 0.0 μB per formula unit
ΔE_f (raw) = -0.200 eV per atom
space-group type = No. 8

Structure (CIF):
```
data_ZnTeRh2
_chemical_formula_sum 'Zn1 Te1 Rh2'
_space_group_name_H-M_alt 'P 1'
_space_group_IT_number 1
_space_group_name_Hall 'P 1'
_cell_length_a 4.971
_cell_length_b 4.971
_cell_length_c 4.405
_cell_angle_alpha 77.26
_cell_angle_beta 77.26
_cell_angle_gamma 38.32
loop_
_atom_site_label
_atom_site_fract_x
_atom_site_fract_y
_atom_site_fract_z
Rh1 0.987 0.987 0.080
Rh2 0.763 0.763 0.681
Zn1 0.253 0.253 0.174
Te1 0.496 0.496 0.566
```

***

Entry 12:
An optimized crystal structure of ZrTeRh3. Source: Alexandria via LeMat-Bulk, functional GGA-PBE.

## Properties
DOS at the Fermi energy = 8.843 states/eV per cell
total magnetic moment = 0.0 μB per formula unit
ΔE_f (raw) = 0.552 eV per atom
space-group type = No. 221

Structure (CIF):
```
data_ZrTeRh3
_chemical_formula_sum 'Zr1 Te1 Rh3'
_space_group_name_H-M_alt 'P 1'
_space_group_IT_number 1
_space_group_name_Hall 'P 1'
_cell_length_a 4.772
_cell_length_b 4.772
_cell_length_c 4.772
_cell_angle_alpha 90.00
_cell_angle_beta 90.00
_cell_angle_gamma 90.00
loop_
_atom_site_label
_atom_site_fract_x
_atom_site_fract_y
_atom_site_fract_z
Rh1 0.500 0.000 0.000
Rh2 0.000 0.500 0.000
Rh3 0.000 0.000 0.500
Te1 0.000 0.000 0.000
Zr1 0.500 0.500 0.500
```

***

Entry 13:
An optimized crystal structure of ZrTeRh. Source: Alexandria via LeMat-Bulk, functional GGA-PBE.

## Properties
DOS at the Fermi energy = 2.931 states/eV per cell
total magnetic moment = 0.0 μB per formula unit
ΔE_f (raw) = -0.483 eV per atom
space-group type = No. 107

Structure (CIF):
```
data_ZrTeRh
_chemical_formula_sum 'Zr1 Te1 Rh1'
_space_group_name_H-M_alt 'P 1'
_space_group_IT_number 1
_space_group_name_Hall 'P 1'
_cell_length_a 5.177
_cell_length_b 5.177
_cell_length_c 3.676
_cell_angle_alpha 69.21
_cell_angle_beta 69.20
_cell_angle_gamma 41.59
loop_
_atom_site_label
_atom_site_fract_x
_atom_site_fract_y
_atom_site_fract_z
Rh1 0.013 0.013 0.987
Zr1 0.659 0.659 0.341
Te1 0.328 0.328 0.672
```